No. 1
The following is a DFT calculation (GGA-PBE) of a relaxed structure of SbAsRu2.

The structure in extended XYZ format:
```
4
Lattice="4.542 -0.027 0.018 3.317 3.102 0.018 1.142 0.447 4.982" Properties=species:S:1:pos:R:3 pbc="T T T"
Sb 4.562 1.785 2.691
As 2.196 0.859 0.454
Ru 7.801 3.052 0.699
Ru 6.802 2.661 3.718
```

Values from the calculation:
- relative energy among the computed polymorphs (meV/atom) = 0
- space-group type = Cm, No. 8

No. 2
The following is a DFT calculation (GGA-PBE) of a relaxed structure of SbAs2Ru.

The structure in extended XYZ format:
```
4
Lattice="-0.112 -1.375 -4.592 -3.596 -1.595 0.565 -1.690 3.457 -0.994" Properties=species:S:1:pos:R:3 pbc="T T T"
Sb -0.901 1.041 -2.793
As 0.000 0.000 0.000
As -2.643 0.931 -0.215
Ru -1.854 -1.485 -2.013
```

Values from the calculation:
- space-group type = P4/mmm, No. 123

Energy relative to the elements, uncorrected
In order: -0.043, 0.474
Unit: eV per atom